[1]
A PBEsol-optimized structure of AlInPO2, computed with meta-GGA SCAN.

Structure (POSCAR):
```
AlInPO2
1.0
3.960 0.000 0.000
0.000 3.960 0.000
0.000 0.000 5.401
Al In P O
1 1 1 2
Direct
0.000 0.000 0.000
0.500 0.500 0.500
0.500 0.500 0.000
0.000 0.500 0.500
0.500 0.000 0.500
```

final energy = -64.48 eV per cell
DOS(E_F) = 0.411 states/eV per atom
formation energy from raw total energies = -0.096 eV per atom


[2]
A PBEsol-optimized structure of AlInOs, computed with meta-GGA SCAN.

Structure (POSCAR):
```
AlInOs
1.0
4.261 0.000 0.000
-2.131 3.690 0.000
0.000 0.000 3.180
Al In Os
1 1 1
Direct
0.000 0.000 0.000
0.333 0.667 0.500
0.667 0.333 0.000
```

final energy = -112.87 eV per cell
DOS(E_F) = 0.254 states/eV per atom


[3]
A PBEsol-optimized structure of AlInOs, computed with meta-GGA SCAN.

Structure (POSCAR):
```
AlInOs
1.0
2.961 0.000 0.000
-1.481 2.564 0.000
0.000 0.000 6.608
Al In Os
1 1 1
Direct
0.000 0.000 0.000
0.667 0.333 0.621
0.333 0.667 0.281
```

final energy = -112.64 eV per cell
DOS(E_F) = 0.638 states/eV per atom


[4]
A PBEsol-optimized structure of Al3InOs, computed with meta-GGA SCAN.

Structure (POSCAR):
```
Al3InOs
1.0
4.848 0.000 0.000
0.000 4.848 0.000
0.000 0.000 4.848
Al In Os
3 1 1
Direct
0.000 0.000 0.500
0.000 0.500 0.000
0.500 0.000 0.000
0.000 0.000 0.000
0.500 0.500 0.500
```

final energy = -119.42 eV per cell
DOS(E_F) = 0.839 states/eV per atom


[5]
A PBEsol-optimized structure of AlIn2SnOs, computed with meta-GGA SCAN.

Structure (POSCAR):
```
AlIn2SnOs
1.0
4.997 0.000 0.000
0.000 4.997 0.000
0.000 0.000 5.085
Al In Sn Os
1 2 1 1
Direct
0.000 0.000 0.000
0.000 0.500 0.000
0.500 0.000 0.000
0.000 0.000 0.500
0.500 0.500 0.500
```

final energy = -174.84 eV per cell
DOS(E_F) = 0.816 states/eV per atom


[6]
A PBEsol-optimized structure of Al2InP, computed with meta-GGA SCAN.

Structure (POSCAR):
```
Al2InP
1.0
-1.732 2.073 5.225
1.732 -2.073 5.225
1.732 2.073 -5.225
Al In P
2 1 1
Direct
0.000 0.000 0.000
0.695 0.195 0.500
0.293 0.793 0.500
0.523 0.523 0.000
```

final energy = -58.86 eV per cell
DOS(E_F) = 0.331 states/eV per atom
distance to the lowest polymorph of the same formula = 52.4 meV per atom


[7]
A PBEsol-optimized structure of AlInP2, computed with meta-GGA SCAN.

Structure (POSCAR):
```
AlInP2
1.0
4.004 0.000 0.000
0.000 4.004 0.000
0.000 0.000 5.661
Al In P
1 1 2
Direct
0.000 0.000 0.000
0.500 0.500 0.500
0.000 0.500 0.772
0.500 0.000 0.228
```

final energy = -63.98 eV per cell
DOS(E_F) = 0.000 states/eV per atom
distance to the lowest polymorph of the same formula = 13.6 meV per atom


[8]
A PBEsol-optimized structure of AlInP2, computed with meta-GGA SCAN.

Structure (POSCAR):
```
AlInP2
1.0
1.732 1.000 7.021
-1.732 1.000 7.021
0.000 -2.000 7.021
Al In P
1 1 2
Direct
0.000 0.000 0.000
0.233 0.233 0.233
0.472 0.472 0.472
0.742 0.742 0.742
```

final energy = -61.24 eV per cell
DOS(E_F) = 0.428 states/eV per atom
distance to the lowest polymorph of the same formula = 699.2 meV per atom